[1]
Material: U2PbS6
Method: DFT, PBE
State: optimized geometry

```
U2PbS6
1.0
3.2978 -4.4324 0.0000
3.2978 4.4324 0.0000
-1.0931 0.0000 7.1007
U Pb S
2 1 6
Cartesian
3.2978 2.2792 0.0000
3.2978 -2.2792 0.0000
2.7513 0.0000 3.5503
0.5599 1.5974 5.0966
1.6714 0.0000 0.7682
0.5599 -1.5974 5.0966
4.9427 1.5974 2.0041
3.8312 0.0000 6.3325
4.9427 -1.5974 2.0041
```

Computed properties:
- Total magnetic moment: 2.0 Bohr magnetons per cell
- Distance to the lowest polymorph of the same formula: 0.126 eV/atom
- ΔE_f (raw): -882 meV/atom

[2]
Material: UPb4S7
Method: DFT, PBE
State: optimized geometry

```
UPb4S7
1.0
9.8033 -2.4616 0.0000
9.8033 2.4616 0.0000
-2.1874 0.0000 6.9719
U Pb S
1 4 7
Cartesian
0.0000 0.0000 0.0000
4.4916 0.0000 5.0687
7.3231 0.0000 2.3800
10.0961 0.0000 4.5919
12.9276 0.0000 1.9031
0.8042 0.0000 2.4091
0.2837 0.0000 6.2202
4.6505 0.0000 2.3302
9.8033 0.0000 0.0000
12.7687 0.0000 4.6417
17.1355 0.0000 0.7517
16.6150 0.0000 4.5627
```

Computed properties:
- Total magnetic moment: 0.1 Bohr magnetons per cell
- ΔE_f (raw): -622 meV/atom

[3]
Material: U2Pb2S7
Method: DFT, PBE
State: optimized geometry

```
U2Pb2S7
1.0
-2.0099 7.3917 4.2782
2.0099 -7.3917 4.2782
2.0099 7.3917 -4.2782
U Pb S
2 2 7
Cartesian
0.0000 0.0000 0.0000
0.0000 7.3917 0.3779
2.0099 3.8051 -2.0124
0.0000 3.5866 2.2658
2.0099 1.7166 0.3083
2.0099 -2.4989 3.8870
0.0000 0.0000 2.7700
2.0099 2.4989 3.8870
2.0099 5.9741 1.9077
0.0000 1.4176 6.1859
0.0000 5.6750 4.5866
```

Computed properties:
- Total magnetic moment: 2.0 Bohr magnetons per cell
- Distance to the lowest polymorph of the same formula: 0.014 eV/atom
- ΔE_f (raw): -897 meV/atom